# Na3SrHg

A geometry-optimized Na3SrHg structure (PBE, Alexandria via LeMat-Bulk).

Values from the calculation:
electronic total energy	-0.67	eV per atom

a b c (Å): 7.2674 7.2674 7.2674
angles (deg): 90.00 90.00 90.00
Last column: nearest neighbours and their distance in Å.
Positions (direct):
1 Na 0.0000 0.0000 0.5000  2 Sr 3.63
2 Na 0.5000 0.0000 0.0000  2 Sr 3.63
3 Na 0.0000 0.5000 0.0000  2 Sr 3.63
4 Hg 0.5000 0.5000 0.5000  12 Na 5.14
5 Sr 0.0000 0.0000 0.0000  6 Na 3.63

# Tc2RhBr

A geometry-optimized Tc2RhBr structure (PBE, Alexandria via LeMat-Bulk).

Values from the calculation:
formation energy (no corrections)	0.783	eV/atom

a b c (Å): 4.4163 4.4163 4.4163
angles (deg): 60.00 60.00 60.00
Last column: nearest neighbours and their distance in Å.
Positions (direct):
1 Tc 0.2500 0.2500 0.2500  4 Rh 2.70, 4 Br 2.70
2 Tc 0.7500 0.7500 0.7500  4 Rh 2.70, 4 Br 2.70
3 Rh 0.5000 0.5000 0.5000  8 Tc 2.70
4 Br 0.0000 0.0000 0.0000  8 Tc 2.70

# BeHgPt3

A geometry-optimized BeHgPt3 structure (PBE, Alexandria via LeMat-Bulk).

Values from the calculation:
electronic total energy	-4.69	eV per atom

a b c (Å): 6.6910 4.0612 5.7392
angles (deg): 90.00 90.00 90.00
Last column: nearest neighbours and their distance in Å.
Positions (direct):
1 Hg 0.5227 0.6000 0.4555  2 Hg 2.87, 8 Pt 2.89
2 Hg 0.5222 0.6000 0.9555  2 Hg 2.87, 8 Pt 2.89
3 Be 0.0223 0.0998 0.4556  8 Pt 2.36-2.49
4 Be 0.0224 0.0998 0.9556  8 Pt 2.36-2.49
5 Pt 0.0224 0.5999 0.2055  4 Be 2.49, 4 Pt 2.77
6 Pt 0.7417 0.1000 0.2055  2 Be 2.36
7 Pt 0.0224 0.5999 0.7055  4 Be 2.49, 4 Pt 2.77
8 Pt 0.3031 0.1000 0.2056  2 Be 2.36
9 Pt 0.3031 0.1000 0.7054  2 Be 2.36
10 Pt 0.7417 0.1000 0.7056  2 Be 2.36

# BiRu2S

A geometry-optimized BiRu2S structure (PBE, Alexandria via LeMat-Bulk).

Values from the calculation:
formation energy (no corrections)	0.255	eV/atom

a b c (Å): 5.4562 5.4562 7.0432
angles (deg): 67.21 67.21 90.00
Last column: nearest neighbours and their distance in Å.
Positions (direct):
1 Ru 0.5458 0.1250 0.2500  2 S 2.21
2 Ru 0.8750 0.7958 0.7500  2 S 2.21
3 Ru 0.2042 0.6250 0.2500  2 S 2.21
4 Ru 0.3750 0.4542 0.7500  2 S 2.21
5 Bi 0.7500 0.2500 0.5000  4 Ru 2.69
6 Bi 0.0000 0.0000 0.0000  4 Ru 2.69
7 S 0.5000 0.5000 0.0000  4 Ru 2.21
8 S 0.2500 0.7500 0.5000  4 Ru 2.21